1.
VASP calculation (PBE) on Ti2FeRe after structural relaxation.

Calculated values
**Uncorrected energy**: -9.543 eV per atom
**Total magnetization**: 0.08 μB/cell
**ΔE_f**: -367 meV per atom
**D(E_F)**: 3.30 states/eV/cell
**Volume**: 14.19 Å³/atom

abc: 4.3142 4.3142 3.0504
angles: 90.00 90.00 90.00
Positions (direct):
1 Ti 0.0000 0.5000 0.0000
2 Ti 0.5000 0.0000 0.0000
3 Fe 0.0000 0.0000 0.5000
4 Re 0.5000 0.5000 0.5000

---

2.
VASP calculation (PBE) on LiOs2Se after structural relaxation.

Calculated values
**Uncorrected energy**: -6.783 eV per atom
**Total magnetization**: 0.00 μB/cell
**D(E_F)**: 3.05 states/eV/cell
**Volume**: 15.45 Å³/atom

abc: 3.7604 6.0722 6.0722
angles: 26.46 90.00 90.00
Positions (direct):
1 Li 0.0000 0.0000 0.0000
2 Os 0.0000 0.2297 0.2297
3 Os 0.5000 0.6379 0.6379
4 Se 0.5000 0.4162 0.4162